(1)
The following is a GGA-PBEsol calculation of a relaxed CoAsPb2 crystal, from Alexandria via LeMat-Bulk.

Results
Energy relative to the elements = 448 meV per atom

Unit cell a=3.7210 b=3.7210 c=7.3683 alpha=75.37 beta=75.37 gamma=60.00
With the nearest neighbours (Å) after each atom.
Element x y z (fractional)
1 As 0.0000 0.0000 0.0000  6 Pb 2.92
2 Pb 0.7599 0.7599 0.7202  3 Co 2.65, 3 As 2.92
3 Pb 0.2401 0.2401 0.2798  3 Co 2.65, 3 As 2.92
4 Co 0.5000 0.5000 0.5000  6 Pb 2.65


(2)
The following is a GGA-PBEsol calculation of a relaxed CaSb5 crystal, from Alexandria via LeMat-Bulk.

Results
Raw formation energy = -0.008 eV/f.u.

Unit cell a=5.3526 b=6.2303 c=6.2303 alpha=120.00 beta=90.00 gamma=90.00
With the nearest neighbours (Å) after each atom.
Element x y z (fractional)
1 Sb 0.5000 0.5000 0.5000  8 Sb 3.12-3.22
2 Sb 0.5000 0.0000 0.5000  8 Sb 3.12-3.22
3 Sb 0.5000 0.5000 0.0000  8 Sb 3.12-3.22
4 Sb 0.0000 0.6667 0.3333  9 Sb 3.22-3.60, 3 Ca 3.60
5 Sb 0.0000 0.3333 0.6667  9 Sb 3.22-3.60, 3 Ca 3.60
6 Ca 0.0000 0.0000 0.0000  6 Sb 3.60


(3)
The following is a GGA-PBEsol calculation of a relaxed LiFe2Co crystal, from Alexandria via LeMat-Bulk.

Results
Energy relative to the elements = 189 meV per atom
Energy above the lowest structure with this stoichiometry = 16 meV per atom

Unit cell a=2.4506 b=2.4506 c=8.6001 alpha=81.81 beta=81.81 gamma=60.00
With the nearest neighbours (Å) after each atom.
Element x y z (fractional)
1 Li 0.5000 0.5000 0.5000  6 Li 2.45, 6 Fe 2.65
2 Fe 0.7454 0.7454 0.7638  6 Fe 2.45, 3 Co 2.45, 3 Li 2.65
3 Fe 0.2546 0.2546 0.2362  6 Fe 2.45, 3 Co 2.45, 3 Li 2.65
4 Co 0.0000 0.0000 0.0000  6 Co 2.45, 6 Fe 2.45


(4)
The following is a GGA-PBEsol calculation of a relaxed LiMgAu2 crystal, from Alexandria via LeMat-Bulk.

Results
Energy relative to the elements = -554 meV per atom

Unit cell a=3.2566 b=3.2569 c=5.9804 alpha=90.00 beta=90.00 gamma=90.00
With the nearest neighbours (Å) after each atom.
Element x y z (fractional)
1 Au 0.0000 0.0000 0.7613  4 Li 2.71, 4 Mg 2.78, 1 Au 2.86
2 Au 0.0000 0.0000 0.2387  4 Li 2.71, 4 Mg 2.78, 1 Au 2.86
3 Mg 0.5000 0.5000 0.5000  8 Au 2.78, 2 Li 2.99
4 Li 0.5000 0.5000 0.0000  8 Au 2.71, 2 Mg 2.99


(5)
The following is a GGA-PBEsol calculation of a relaxed AlCuPt crystal, from Alexandria via LeMat-Bulk.

Results
Energy relative to the elements = -607 meV per atom

Unit cell a=2.7813 b=3.5224 c=4.6632 alpha=112.19 beta=107.35 gamma=90.00
With the nearest neighbours (Å) after each atom.
Element x y z (fractional)
1 Cu 0.3386 0.3386 0.6772  5 Al 2.60-2.77, 5 Pt 2.64-2.67, 2 Cu 2.78
2 Al 0.9993 0.9993 0.9986  5 Cu 2.60-2.77, 5 Pt 2.61-2.76, 2 Al 2.78
3 Pt 0.6621 0.6621 0.3242  5 Al 2.61-2.76, 5 Cu 2.64-2.67, 2 Pt 2.78


(6)
The following is a GGA-PBEsol calculation of a relaxed Li2AlHg crystal, from Alexandria via LeMat-Bulk.

Results
Energy relative to the elements = -261 meV per atom

Unit cell a=2.9411 b=4.5329 c=5.0189 alpha=90.00 beta=90.00 gamma=90.00
With the nearest neighbours (Å) after each atom.
Element x y z (fractional)
1 Al 0.5000 0.0000 0.5352  2 Hg 2.78, 8 Li 2.85-2.92, 2 Al 2.94
2 Hg 0.5000 0.5000 0.2148  2 Al 2.78, 8 Li 2.85-2.92, 2 Hg 2.94
3 Li 0.0000 0.0000 0.0367  4 Li 2.79-2.94, 4 Hg 2.85, 4 Al 2.90-2.92
4 Li 0.0000 0.5000 0.7133  4 Li 2.79-2.94, 4 Al 2.85, 4 Hg 2.90-2.92


Number 1: ρ 10.77 g/cm³. Number 2: ρ 5.99 g/cm³. Number 3: ρ 6.68 g/cm³. Number 4: ρ 11.13 g/cm³. Number 5: ρ 11.84 g/cm³. Number 6: ρ 5.99 g/cm³.